#one
# GGA-PBE La2CuAg, relaxed
data_La2CuAg
_cell_length_a 7.470
_cell_length_b 3.887
_cell_length_c 8.219
_cell_angle_alpha 90.00
_cell_angle_beta 102.39
_cell_angle_gamma 90.00
_space_group_name_H-M_alt 'C 1 2/m 1'
_space_group_IT_number 12
loop_
_space_group_symop_operation_xyz
'x,y,z'
'-x,-y,-z'
'-x,y,-z'
'x,-y,z'
'x+1/2,y+1/2,z'
'-x+1/2,-y+1/2,-z'
'-x+1/2,y+1/2,-z'
'x+1/2,-y+1/2,z'
loop_
_atom_site_label
_atom_site_fract_x
_atom_site_fract_y
_atom_site_fract_z
La1 0.247 0.000 0.229
Cu1 0.000 0.500 0.000
Ag1 0.000 0.000 0.500
# V, Å³ per cell: 233.1

---

#two
# GGA-PBE La2CuAg, relaxed
data_La2CuAg
_cell_length_a 3.750
_cell_length_b 3.750
_cell_length_c 7.433
_cell_angle_alpha 90.00
_cell_angle_beta 90.00
_cell_angle_gamma 90.00
_space_group_name_H-M_alt 'P 4/m m m'
_space_group_IT_number 123
_space_group_name_Hall '-P 4 2'
loop_
_atom_site_label
_atom_site_fract_x
_atom_site_fract_y
_atom_site_fract_z
La1 0.000 0.000 0.232
Cu1 0.500 0.500 0.000
Ag1 0.500 0.500 0.500
# V, Å³ per cell: 104.5

---

#three
# GGA-PBE La2CuAg, relaxed
data_La2CuAg
_cell_length_a 4.5975
_cell_length_b 4.5975
_cell_length_c 18.4624
_cell_angle_alpha 90.00
_cell_angle_beta 90.00
_cell_angle_gamma 120.00
_space_group_name_H-M_alt 'R 3 m'
_space_group_IT_number 160
_space_group_name_Hall 'R 3 -2"'
loop_
_atom_site_label
_atom_site_fract_x
_atom_site_fract_y
_atom_site_fract_z
La1 0.0000 0.0000 0.0000
La2 0.0000 0.0000 0.1874
Cu1 0.0000 0.0000 0.4225
Ag1 0.0000 0.0000 0.7629
# V, Å³ per cell: 338.0

---

Tell me which of them is the most stable. Sure, it is #two.

---

#one
# GGA-PBE LaCuAg3, relaxed
data_LaCuAg3
_cell_length_a 5.706
_cell_length_b 5.706
_cell_length_c 5.706
_cell_angle_alpha 90.00
_cell_angle_beta 90.00
_cell_angle_gamma 90.00
_space_group_name_H-M_alt 'P m -3 m'
_space_group_IT_number 221
_space_group_name_Hall '-P 4 2 3'
loop_
_atom_site_label
_atom_site_fract_x
_atom_site_fract_y
_atom_site_fract_z
La1 0.000 0.000 0.000
Cu1 0.500 0.500 0.500
Ag1 0.000 0.000 0.500
# V, Å³ per cell: 185.8

---

#two
# GGA-PBE LaCuAg3, relaxed
data_LaCuAg3
_cell_length_a 4.898
_cell_length_b 4.898
_cell_length_c 4.898
_cell_angle_alpha 90.00
_cell_angle_beta 90.00
_cell_angle_gamma 90.00
_space_group_name_H-M_alt 'P m -3 m'
_space_group_IT_number 221
_space_group_name_Hall '-P 4 2 3'
loop_
_atom_site_label
_atom_site_fract_x
_atom_site_fract_y
_atom_site_fract_z
La1 0.000 0.000 0.000
Cu1 0.500 0.500 0.500
Ag1 0.000 0.500 0.500
# V, Å³ per cell: 117.5

---

Tell me which of them is the most stable. Sure, it is #two.

---

#one
# GGA-PBE La2CuAg2, relaxed
data_La2CuAg2
_cell_length_a 3.935
_cell_length_b 4.287
_cell_length_c 14.929
_cell_angle_alpha 90.00
_cell_angle_beta 90.00
_cell_angle_gamma 90.00
_space_group_name_H-M_alt 'A m m 2'
_space_group_IT_number 38
loop_
_space_group_symop_operation_xyz
'x,y,z'
'-x,-y,z'
'-x,y,z'
'x,-y,z'
'x,y+1/2,z+1/2'
'-x,-y+1/2,z+1/2'
'-x,y+1/2,z+1/2'
'x,-y+1/2,z+1/2'
loop_
_atom_site_label
_atom_site_fract_x
_atom_site_fract_y
_atom_site_fract_z
La1 0.000 0.000 0.000
La2 0.000 0.000 0.245
Cu1 0.500 0.000 0.429
Ag1 0.500 0.000 0.620
Ag2 0.500 0.000 0.824
# V, Å³ per cell: 251.8

---

#two
# GGA-PBE La2CuAg2, relaxed
data_La2CuAg2
_cell_length_a 8.197
_cell_length_b 8.197
_cell_length_c 4.224
_cell_angle_alpha 90.00
_cell_angle_beta 90.00
_cell_angle_gamma 90.00
_space_group_name_H-M_alt 'P 4/m b m'
_space_group_IT_number 127
_space_group_name_Hall '-P 4 2ab'
loop_
_atom_site_label
_atom_site_fract_x
_atom_site_fract_y
_atom_site_fract_z
La1 0.171 0.329 0.000
Cu1 0.000 0.000 0.000
Ag1 0.125 0.625 0.500
# V, Å³ per cell: 283.8

---

Tell me which of them is the most stable. Sure, it is #one.

---

#one
# GGA-PBE La2CuAg2, relaxed
data_La2CuAg2
_cell_length_a 5.946
_cell_length_b 5.946
_cell_length_c 7.833
_cell_angle_alpha 90.00
_cell_angle_beta 90.00
_cell_angle_gamma 90.00
_space_group_name_H-M_alt 'I 4/m m m'
_space_group_IT_number 139
_space_group_name_Hall '-I 4 2'
loop_
_atom_site_label
_atom_site_fract_x
_atom_site_fract_y
_atom_site_fract_z
La1 0.000 0.500 0.250
Cu1 0.000 0.000 0.000
Ag1 0.000 0.000 0.335
# V, Å³ per cell: 277.0

---

#two
# GGA-PBE La2CuAg2, relaxed
data_La2CuAg2
_cell_length_a 3.825
_cell_length_b 3.825
_cell_length_c 17.678
_cell_angle_alpha 90.00
_cell_angle_beta 90.00
_cell_angle_gamma 90.00
_space_group_name_H-M_alt 'I 4/m m m'
_space_group_IT_number 139
_space_group_name_Hall '-I 4 2'
loop_
_atom_site_label
_atom_site_fract_x
_atom_site_fract_y
_atom_site_fract_z
La1 0.000 0.000 0.095
Cu1 0.000 0.000 0.500
Ag1 0.000 0.500 0.250
# V, Å³ per cell: 258.7

---

#three
# GGA-PBE La2CuAg2, relaxed
data_La2CuAg2
_cell_length_a 7.365
_cell_length_b 7.365
_cell_length_c 4.681
_cell_angle_alpha 90.00
_cell_angle_beta 90.00
_cell_angle_gamma 90.00
_space_group_name_H-M_alt 'P 4/m b m'
_space_group_IT_number 127
_space_group_name_Hall '-P 4 2ab'
loop_
_atom_site_label
_atom_site_fract_x
_atom_site_fract_y
_atom_site_fract_z
La1 0.169 0.331 0.000
Cu1 0.000 0.000 0.500
Ag1 0.136 0.636 0.500
# V, Å³ per cell: 253.9

---

Tell me which of them is the most stable. Sure, it is #three.

---

#one
# GGA-PBE La3CuAg, relaxed
data_La3CuAg
_cell_length_a 5.326
_cell_length_b 20.029
_cell_length_c 5.343
_cell_angle_alpha 90.00
_cell_angle_beta 90.00
_cell_angle_gamma 90.00
_space_group_name_H-M_alt 'C m c m'
_space_group_IT_number 63
_space_group_name_Hall '-C 2c 2'
loop_
_atom_site_label
_atom_site_fract_x
_atom_site_fract_y
_atom_site_fract_z
La1 0.000 0.066 0.250
La2 0.000 0.250 0.250
La3 0.000 0.433 0.250
Cu1 0.000 0.156 0.750
Ag1 0.000 0.343 0.750
# V, Å³ per cell: 569.9

---

#two
# GGA-PBE La3CuAg, relaxed
data_La3CuAg
_cell_length_a 5.581
_cell_length_b 5.581
_cell_length_c 5.581
_cell_angle_alpha 90.00
_cell_angle_beta 90.00
_cell_angle_gamma 90.00
_space_group_name_H-M_alt 'P m -3 m'
_space_group_IT_number 221
_space_group_name_Hall '-P 4 2 3'
loop_
_atom_site_label
_atom_site_fract_x
_atom_site_fract_y
_atom_site_fract_z
La1 0.000 0.000 0.500
Cu1 0.000 0.000 0.000
Ag1 0.500 0.500 0.500
# V, Å³ per cell: 173.8

---

Tell me which of them is the most stable. Sure, it is #one.

---

#one
# GGA-PBE La4CuAg, relaxed
data_La4CuAg
_cell_length_a 7.241
_cell_length_b 7.716
_cell_length_c 7.206
_cell_angle_alpha 90.00
_cell_angle_beta 95.68
_cell_angle_gamma 90.00
_space_group_name_H-M_alt 'P 1 21/c 1'
_space_group_IT_number 14
loop_
_space_group_symop_operation_xyz
'x,y,z'
'-x,-y,-z'
'-x,y+1/2,-z+1/2'
'x,-y+1/2,z+1/2'
loop_
_atom_site_label
_atom_site_fract_x
_atom_site_fract_y
_atom_site_fract_z
La1 0.161 0.169 0.181
La2 0.338 0.654 0.111
Cu1 0.000 0.000 0.500
Ag1 0.500 0.000 0.000
# V, Å³ per cell: 400.7

---

#two
# GGA-PBE La4CuAg, relaxed
data_La4CuAg
_cell_length_a 9.049
_cell_length_b 9.049
_cell_length_c 9.049
_cell_angle_alpha 90.00
_cell_angle_beta 90.00
_cell_angle_gamma 90.00
_space_group_name_H-M_alt 'F -4 3 m'
_space_group_IT_number 216
_space_group_name_Hall 'F -4 2 3'
loop_
_atom_site_label
_atom_site_fract_x
_atom_site_fract_y
_atom_site_fract_z
La1 0.125 0.125 0.125
Cu1 0.000 0.000 0.500
Ag1 0.250 0.250 0.750
# V, Å³ per cell: 741.0

---

#three
# GGA-PBE La4CuAg, relaxed
data_La4CuAg
_cell_length_a 3.765
_cell_length_b 3.765
_cell_length_c 12.714
_cell_angle_alpha 90.00
_cell_angle_beta 90.00
_cell_angle_gamma 90.00
_space_group_name_H-M_alt 'P 4/m m m'
_space_group_IT_number 123
_space_group_name_Hall '-P 4 2'
loop_
_atom_site_label
_atom_site_fract_x
_atom_site_fract_y
_atom_site_fract_z
La1 0.000 0.000 0.135
La2 0.500 0.500 0.347
Cu1 0.500 0.500 0.000
Ag1 0.000 0.000 0.500
# V, Å³ per cell: 180.2

---

Tell me which of them is the most stable. Sure, it is #three.

---

#one
# GGA-PBE La4Cu2Ag, relaxed
data_La4Cu2Ag
_cell_length_a 5.2006
_cell_length_b 5.2006
_cell_length_c 25.0772
_cell_angle_alpha 90.00
_cell_angle_beta 90.00
_cell_angle_gamma 120.00
_space_group_name_H-M_alt 'R -3 m'
_space_group_IT_number 166
_space_group_name_Hall '-R 3 2"'
loop_
_atom_site_label
_atom_site_fract_x
_atom_site_fract_y
_atom_site_fract_z
La1 0.0000 0.0000 0.1186
La2 0.0000 0.0000 0.3671
Cu1 0.0000 0.0000 0.2470
Ag1 0.0000 0.0000 0.5000
# V, Å³ per cell: 587.4

---

#two
# GGA-PBE La4Cu2Ag, relaxed
data_La4Cu2Ag
_cell_length_a 5.0840
_cell_length_b 5.0840
_cell_length_c 27.1555
_cell_angle_alpha 90.00
_cell_angle_beta 90.00
_cell_angle_gamma 120.00
_space_group_name_H-M_alt 'R -3 m'
_space_group_IT_number 166
_space_group_name_Hall '-R 3 2"'
loop_
_atom_site_label
_atom_site_fract_x
_atom_site_fract_y
_atom_site_fract_z
La1 0.0000 0.0000 0.1191
La2 0.0000 0.0000 0.2926
Cu1 0.0000 0.0000 0.4023
Ag1 0.0000 0.0000 0.5000
# V, Å³ per cell: 607.9

---

Tell me which of them is the most stable. Sure, it is #one.

---

#one
# GGA-PBE LaPmCuAg, relaxed
data_LaPmCuAg
_cell_length_a 7.418
_cell_length_b 7.418
_cell_length_c 7.418
_cell_angle_alpha 90.00
_cell_angle_beta 90.00
_cell_angle_gamma 90.00
_space_group_name_H-M_alt 'F -4 3 m'
_space_group_IT_number 216
_space_group_name_Hall 'F -4 2 3'
loop_
_atom_site_label
_atom_site_fract_x
_atom_site_fract_y
_atom_site_fract_z
La1 0.000 0.000 0.000
Pm1 0.000 0.000 0.500
Cu1 0.250 0.250 0.250
Ag1 0.250 0.250 0.750
# V, Å³ per cell: 408.1

---

#two
# GGA-PBE LaPmCuAg, relaxed
data_LaPmCuAg
_cell_length_a 3.685
_cell_length_b 3.685
_cell_length_c 7.429
_cell_angle_alpha 90.00
_cell_angle_beta 90.00
_cell_angle_gamma 90.00
_space_group_name_H-M_alt 'P 4 m m'
_space_group_IT_number 99
loop_
_space_group_symop_operation_xyz
'x,y,z'
'-y,x,z'
'-x,-y,z'
'y,-x,z'
'-x,y,z'
'y,x,z'
'x,-y,z'
'-y,-x,z'
loop_
_atom_site_label
_atom_site_fract_x
_atom_site_fract_y
_atom_site_fract_z
La1 0.000 0.000 0.000
Pm1 0.000 0.000 0.470
Cu1 0.500 0.500 0.250
Ag1 0.500 0.500 0.722
# V, Å³ per cell: 100.9

---

Tell me which of them is the most stable. Sure, it is #two.